This record from the Alexandria database describes crystalline YIn3Ag at its relaxed geometry. The functional is PBE-GGA.

Lattice parameters (Å, degrees): 5.857 5.857 5.857 90.00 90.00 90.00
Positions (direct):
Y (0.000, 0.000, 0.000)
In (0.000, 0.000, 0.500)
In (0.000, 0.500, 0.000)
In (0.500, 0.000, 0.000)
Ag (0.500, 0.500, 0.500)

The calculated total energy is -2.73 eV/atom. The total moment comes out at 0.15 Bohr magnetons per cell. As for the formation enthalpy at 0 K: 0.779 eV/atom. The calculation puts the density of states at the Fermi level at 1.134 states/eV per atom.